Record 1
# AcHg2I

Crystalline AcHg2I at its relaxed geometry (GGA-PBE, Alexandria via LeMat-Bulk).

## Properties
Density in g/cm³: 7.58
Density of states at the Fermi level in states/eV/atom: 0.65
Total DFT energy (no corrections) in eV/atom: -1.647
Formation energy from raw total energies in eV/f.u.: -0.33
Spin magnetization in μB per formula unit: 0.000

Unit cell a=4.1541 b=4.1541 c=33.2154 alpha=90.00 beta=90.00 gamma=120.00
Space group R-3m (No. 166, hexagonal axes)
Unique sites:
Ac 0.0000 0.0000 0.0000 x3
Hg 0.0000 0.0000 0.0982 x6
I 0.0000 0.0000 0.5000 x3


Record 2
# TlMo2I

Crystalline TlMo2I at its relaxed geometry (GGA-PBE, Alexandria via LeMat-Bulk).

## Properties
Density in g/cm³: 9.19
ΔE to the lowest computed polymorph in eV/f.u.: 0.30
Density of states at the Fermi level in states/eV/atom: 0.80
Total DFT energy (no corrections) in eV/atom: -5.222
Formation energy from raw total energies in eV/f.u.: 4.69
Spin magnetization in μB per formula unit: 0.000

Unit cell a=4.4133 b=4.4133 c=19.4123 alpha=90.00 beta=90.00 gamma=90.00
Space group I-42d (No. 122)
Unique sites:
Tl 0.0000 0.0000 0.0000 x4
Mo 0.1590 0.2500 0.6250 x8
I 0.0000 0.0000 0.5000 x4